YFeCoSn: optimized geometry, GGA-PBE.

Cell lengths 6.6259, 6.6259, 6.6259 Å; angles 90.00, 90.00, 90.00 degrees
Last column: nearest neighbours and their distance in Å.
Space group F-43m (No. 216)
Symmetry-distinct sites (fractional):
Y: 0.0000 0.0000 0.0000 x4  4 Fe 2.87, 4 Sn 2.87
Fe: 0.2500 0.2500 0.7500 x4  4 Co 2.87, 4 Y 2.87
Co: 0.0000 0.0000 0.5000 x4  4 Sn 2.87, 4 Fe 2.87
Sn: 0.2500 0.2500 0.2500 x4  4 Co 2.87, 4 Y 2.87

Summary:
- spin magnetization (μB/cell) = 17.33
- calculated density (g/cm³) = 7.4
- crystal system = cubic
- ΔE to the lowest computed polymorph (eV/f.u.) = 0.80